(1)
Here is Ba2BiS2 at its PBEsol-relaxed geometry from Alexandria. Energies are from SCAN.

Output
space group = No. 139
formation energy (no corrections) = -1020.0 meV per atom
electronic total energy = -36.4073 eV per atom
D(E_F) = 3.79 states/eV/cell
volume = 35.17 Å³ per atom

Geometry as CIF:
```
data_Ba2BiS2
_chemical_formula_sum 'Ba2 Bi1 S2'
_symmetry_space_group_name_H-M 'P 1'
_symmetry_Int_Tables_number 1
_cell_length_a 7.225
_cell_length_b 7.225
_cell_length_c 7.225
_cell_angle_alpha 136.59
_cell_angle_beta 136.59
_cell_angle_gamma 63.07
loop_
_symmetry_equiv_pos_as_xyz
'x,y,z'
loop_
_atom_site_label
_atom_site_fract_x
_atom_site_fract_y
_atom_site_fract_z
Ba1 0.149 0.149 0.000
Ba2 0.851 0.851 0.000
Bi1 0.500 0.500 0.000
S1 0.250 0.750 0.500
S2 0.750 0.250 0.500
```


(2)
Here is Ba2Bi2Sb at its PBEsol-relaxed geometry from Alexandria. Energies are from SCAN.

Output
space group = No. 127
formation energy (no corrections) = -808.5 meV per atom
electronic total energy = -55.5126 eV per atom
D(E_F) = 5.41 states/eV/cell
volume = 36.66 Å³ per atom

Geometry as CIF:
```
data_Ba2Bi2Sb
_chemical_formula_sum 'Ba4 Bi4 Sb2'
_symmetry_space_group_name_H-M 'P 1'
_symmetry_Int_Tables_number 1
_cell_length_a 8.462
_cell_length_b 8.462
_cell_length_c 5.120
_cell_angle_alpha 90.00
_cell_angle_beta 90.00
_cell_angle_gamma 90.00
loop_
_symmetry_equiv_pos_as_xyz
'x,y,z'
loop_
_atom_site_label
_atom_site_fract_x
_atom_site_fract_y
_atom_site_fract_z
Ba1 0.176 0.324 0.000
Ba2 0.324 0.824 0.000
Ba3 0.676 0.176 0.000
Ba4 0.824 0.676 0.000
Bi1 0.130 0.630 0.500
Bi2 0.370 0.130 0.500
Bi3 0.630 0.870 0.500
Bi4 0.870 0.370 0.500
Sb1 0.000 0.000 0.500
Sb2 0.500 0.500 0.500
```


(3)
Here is BaBiSbTe2 at its PBEsol-relaxed geometry from Alexandria. Energies are from SCAN.

Output
space group = No. 123
formation energy (no corrections) = -312.5 meV per atom
electronic total energy = -46.2911 eV per atom
D(E_F) = 6.06 states/eV/cell
volume = 39.89 Å³ per atom

Geometry as CIF:
```
data_BaBiSbTe2
_chemical_formula_sum 'Ba1 Bi1 Sb1 Te2'
_symmetry_space_group_name_H-M 'P 1'
_symmetry_Int_Tables_number 1
_cell_length_a 5.895
_cell_length_b 5.895
_cell_length_c 5.739
_cell_angle_alpha 90.00
_cell_angle_beta 90.00
_cell_angle_gamma 90.00
loop_
_symmetry_equiv_pos_as_xyz
'x,y,z'
loop_
_atom_site_label
_atom_site_fract_x
_atom_site_fract_y
_atom_site_fract_z
Ba1 0.000 0.000 0.000
Bi1 0.500 0.500 0.500
Sb1 0.500 0.500 0.000
Te1 0.000 0.500 0.500
Te2 0.500 0.000 0.500
```